# Sn2IrPb2 (PBE, optimized geometry)
# * crystal system: tetragonal
# * ΔE_f: 0.5 eV/f.u.
# * M_tot: 0.000 μB per atom
data_Sn2IrPb2
_chemical_formula_sum 'Sn4 Ir2 Pb4'
_symmetry_space_group_name_H-M 'P 4/m b m'
_symmetry_Int_Tables_number 127
_symmetry_space_group_name_Hall '-P 4 2ab'
_cell_length_a 6.997
_cell_length_b 6.997
_cell_length_c 5.344
_cell_angle_alpha 90.00
_cell_angle_beta 90.00
_cell_angle_gamma 90.00
loop_
_atom_site_label
_atom_site_type_symbol
_atom_site_fract_x
_atom_site_fract_y
_atom_site_fract_z
Sn1 Sn 0.150 0.350 0.000
Ir1 Ir 0.000 0.000 0.000
Pb1 Pb 0.172 0.672 0.500

# SnIrPb (PBE, optimized geometry)
# * crystal system: cubic
# * ΔE_f: -0.1 eV/f.u.
# * M_tot: 0.000 μB per atom
data_SnIrPb
_chemical_formula_sum 'Sn4 Ir4 Pb4'
_symmetry_space_group_name_H-M 'F -4 3 m'
_symmetry_Int_Tables_number 216
_symmetry_space_group_name_Hall 'F -4 2 3'
_cell_length_a 6.571
_cell_length_b 6.571
_cell_length_c 6.571
_cell_angle_alpha 90.00
_cell_angle_beta 90.00
_cell_angle_gamma 90.00
loop_
_atom_site_label
_atom_site_type_symbol
_atom_site_fract_x
_atom_site_fract_y
_atom_site_fract_z
Sn1 Sn 0.000 0.000 0.000
Ir1 Ir 0.250 0.250 0.250
Pb1 Pb 0.000 0.000 0.500

# SnIr2Pb (PBE, optimized geometry)
# * crystal system: tetragonal
# * ΔE_f: 2.7 eV/f.u.
# * M_tot: 0.000 μB per atom
data_SnIr2Pb
_chemical_formula_sum 'Sn4 Ir8 Pb4'
_symmetry_space_group_name_H-M 'I -4 2 d'
_symmetry_Int_Tables_number 122
_symmetry_space_group_name_Hall 'I -4 2bw'
_cell_length_a 6.087
_cell_length_b 6.087
_cell_length_c 11.972
_cell_angle_alpha 90.00
_cell_angle_beta 90.00
_cell_angle_gamma 90.00
loop_
_atom_site_label
_atom_site_type_symbol
_atom_site_fract_x
_atom_site_fract_y
_atom_site_fract_z
Sn1 Sn 0.000 0.000 0.000
Ir1 Ir 0.238 0.250 0.125
Pb1 Pb 0.000 0.000 0.500

# Sn2Ir2Pb (PBE, optimized geometry)
# * crystal system: tetragonal
# * ΔE_f: 0.1 eV/f.u.
# * M_tot: 0.000 μB per atom
data_Sn2Ir2Pb
_chemical_formula_sum 'Sn4 Ir4 Pb2'
_symmetry_space_group_name_H-M 'P 4/m b m'
_symmetry_Int_Tables_number 127
_symmetry_space_group_name_Hall '-P 4 2ab'
_cell_length_a 8.080
_cell_length_b 8.080
_cell_length_c 3.074
_cell_angle_alpha 90.00
_cell_angle_beta 90.00
_cell_angle_gamma 90.00
loop_
_atom_site_label
_atom_site_type_symbol
_atom_site_fract_x
_atom_site_fract_y
_atom_site_fract_z
Sn1 Sn 0.150 0.350 0.000
Ir1 Ir 0.142 0.642 0.500
Pb1 Pb 0.000 0.000 0.500

# Sr8IrPb2 (PBE, optimized geometry)
# * crystal system: monoclinic
# * ΔE_f: -3.3 eV/f.u.
# * M_tot: 0.000 μB per atom
data_Sr8IrPb2
_chemical_formula_sum 'Sr16 Ir2 Pb4'
_symmetry_space_group_name_H-M 'C 1 2/m 1'
_symmetry_Int_Tables_number 12
_symmetry_space_group_name_Hall '-C 2y'
_cell_length_a 20.181
_cell_length_b 5.741
_cell_length_c 7.629
_cell_angle_alpha 90.00
_cell_angle_beta 107.55
_cell_angle_gamma 90.00
loop_
_atom_site_label
_atom_site_type_symbol
_atom_site_fract_x
_atom_site_fract_y
_atom_site_fract_z
Sr1 Sr 0.023 0.000 0.300
Sr2 Sr 0.092 0.500 0.907
Sr3 Sr 0.144 0.500 0.443
Sr4 Sr 0.209 0.000 0.788
Ir1 Ir 0.000 0.500 0.500
Pb1 Pb 0.185 0.000 0.213

# SrIrPb (PBE, optimized geometry)
# * crystal system: hexagonal
# * ΔE_f: -0.3 eV/f.u.
# * M_tot: 0.000 μB per atom
data_SrIrPb
_chemical_formula_sum 'Sr1 Ir1 Pb1'
_symmetry_space_group_name_H-M 'P -6 m 2'
_symmetry_Int_Tables_number 187
_symmetry_space_group_name_Hall 'P -6 2'
_cell_length_a 4.6834
_cell_length_b 4.6834
_cell_length_c 4.3851
_cell_angle_alpha 90.00
_cell_angle_beta 90.00
_cell_angle_gamma 120.00
loop_
_atom_site_label
_atom_site_type_symbol
_atom_site_fract_x
_atom_site_fract_y
_atom_site_fract_z
Sr1 Sr 0.0000 0.0000 0.0000
Ir1 Ir 0.6667 0.3333 0.5000
Pb1 Pb 0.3333 0.6667 0.5000

Question: Which value of M_tot does entry 6 give?
Answer: 0.000 μB per atom

Question: Number 6 is which compound?
Answer: SrIrPb

Question: What is the ΔE_f in the second record?
Answer: -0.1 eV/f.u.